[1]
! HoMgPb PBE optimized geometry; values from VASP
&SYSTEM
  ibrav = 0, nat = 3, ntyp = 3
/
ATOMIC_SPECIES
Ho 164.93 Ho.upf
Mg 24.30 Mg.upf
Pb 207.20 Pb.upf
CELL_PARAMETERS angstrom
0.000 3.523 3.523
3.523 0.000 3.523
3.523 3.523 0.000
ATOMIC_POSITIONS angstrom
Ho 1.762 1.762 1.762
Mg 5.285 5.285 5.285
Pb 0.000 0.000 0.000
! volume = 29.16 Å³ per atom
! space group = F-43m
! energy = -3.408 eV/atom

=====

[2]
! HoTmMg2Pb2 PBE optimized geometry; values from VASP
&SYSTEM
  ibrav = 0, nat = 6, ntyp = 4
/
ATOMIC_SPECIES
Ho 164.93 Ho.upf
Mg 24.30 Mg.upf
Pb 207.20 Pb.upf
Tm 168.93 Tm.upf
CELL_PARAMETERS angstrom
-2.009 -7.651 3.254
-6.210 -3.319 4.856
2.456 4.829 -6.619
ATOMIC_POSITIONS angstrom
Ho -5.470 -7.301 5.398
Mg -3.885 -6.893 2.371
Mg -5.985 -4.728 3.171
Pb -1.139 -1.520 1.124
Pb -7.083 -9.453 6.989
Tm -2.751 -3.671 2.714
! volume = 25.86 Å³ per atom
! space group = I4mm
! energy = -3.643 eV/atom

=====

[3]
! HoMgPd PBE optimized geometry; values from VASP
&SYSTEM
  ibrav = 0, nat = 3, ntyp = 3
/
ATOMIC_SPECIES
Ho 164.93 Ho.upf
Mg 24.30 Mg.upf
Pd 106.42 Pd.upf
CELL_PARAMETERS angstrom
0.242 -2.963 3.730
-0.259 1.727 4.439
-3.879 -0.815 2.654
ATOMIC_POSITIONS angstrom
Ho 0.000 0.000 0.000
Mg -0.974 -0.513 2.706
Pd -2.922 -1.538 8.118
! volume = 25.59 Å³ per atom
! space group = F-43m
! energy = -3.678 eV/atom

=====

[4]
! HoMgPd PBE optimized geometry; values from VASP
&SYSTEM
  ibrav = 0, nat = 9, ntyp = 3
/
ATOMIC_SPECIES
Ho 164.93 Ho.upf
Mg 24.30 Mg.upf
Pd 106.42 Pd.upf
CELL_PARAMETERS angstrom
-4.301 -3.594 4.882
1.799 -3.227 -6.450
3.279 -1.596 1.713
ATOMIC_POSITIONS angstrom
Ho -0.131 -2.278 2.867
Ho 2.380 -2.127 -1.799
Ho 0.168 -4.811 -0.066
Mg -3.245 -2.712 3.683
Mg -0.614 -1.674 -0.385
Mg 1.357 -2.435 -4.866
Pd -2.267 -3.472 1.104
Pd -0.234 -3.349 -2.673
Pd 1.639 -0.798 0.857
! volume = 21.42 Å³ per atom
! space group = P-62m
! energy = -4.465 eV/atom

=====

[5]
! HoMgPd PBE optimized geometry; values from VASP
&SYSTEM
  ibrav = 0, nat = 3, ntyp = 3
/
ATOMIC_SPECIES
Ho 164.93 Ho.upf
Mg 24.30 Mg.upf
Pd 106.42 Pd.upf
CELL_PARAMETERS angstrom
0.000 3.300 3.300
3.300 0.000 3.300
3.300 3.300 0.000
ATOMIC_POSITIONS angstrom
Ho 1.650 1.650 1.650
Mg 4.949 4.949 4.949
Pd 0.000 0.000 0.000
! volume = 23.95 Å³ per atom
! space group = F-43m
! energy = -4.314 eV/atom

=====

[6]
! Ho3Mg3Pd2Pt PBE optimized geometry; values from VASP
&SYSTEM
  ibrav = 0, nat = 9, ntyp = 4
/
ATOMIC_SPECIES
Ho 164.93 Ho.upf
Mg 24.30 Mg.upf
Pd 106.42 Pd.upf
Pt 195.08 Pt.upf
CELL_PARAMETERS angstrom
7.371 0.000 0.000
-3.686 6.384 0.000
0.000 0.000 4.093
ATOMIC_POSITIONS angstrom
Ho 3.001 0.000 0.000
Ho -1.501 2.599 0.000
Ho 2.185 3.784 0.000
Mg 5.564 0.000 2.047
Mg 0.904 1.565 2.047
Mg -2.782 4.818 2.047
Pd 3.686 2.128 2.047
Pd 0.000 4.256 2.047
Pt 0.000 0.000 0.000
! volume = 21.40 Å³ per atom
! space group = P-62m
! energy = -4.650 eV/atom

=====

> Which value of volume does entry 5 give?

23.95 Å³ per atom